No. 1
Here is a geometry-optimized La2ScAgAs structure from Alexandria via LeMat-Bulk. Energies are from GGA-PBE.

Lattice parameters (Å, degrees): 5.7317 5.1074 5.7317 90.00 90.00 90.00
Last column: nearest neighbours and their distance in Å.
Positions (direct):
Sc (0.0000, 0.5000, 0.0000)  2 Ag 2.55
As (0.5000, 0.5000, 0.5000)  8 La 3.84, 4 Sc 4.05
Ag (0.0000, 0.0000, 0.0000)  2 Sc 2.55
La (0.0000, 0.0000, 0.5000)  2 Ag 2.87
La (0.5000, 0.0000, 0.0000)  2 Ag 2.87

Values from the calculation:
The calculation puts the energy at -4.632 eV/atom. The crystal system is tetragonal. As for the total magnetization: 0.0 μB/f.u. For the calculated volume, the calculation gives 167.8 Å³/cell. The formation energy from the elements is 0.525 eV/f.u.

No. 2
Here is a geometry-optimized LaAgAsSe2 structure from Alexandria via LeMat-Bulk. Energies are from GGA-PBE.

Lattice parameters (Å, degrees): 5.1027 5.1027 4.9559 90.00 90.00 90.00
Last column: nearest neighbours and their distance in Å.
Positions (direct):
As (0.0000, 0.0000, 0.5000)  2 Ag 2.48
Se (0.0000, 0.5000, 0.0000)  2 Ag 2.55
Se (0.5000, 0.0000, 0.0000)  2 Ag 2.55
Ag (0.0000, 0.0000, 0.0000)  2 As 2.48, 4 Se 2.55
La (0.5000, 0.5000, 0.5000)  8 Se 3.56, 4 As 3.61

Values from the calculation:
The calculation puts the energy at -4.279 eV/atom. The crystal system is tetragonal. The calculation puts the uncorrected formation energy at -0.40 eV per atom. As for the total magnetization: 0.0 μB/f.u. For the calculated volume, the calculation gives 129.0 Å³/cell.

No. 3
Here is a geometry-optimized LaAgAsSe2 structure from Alexandria via LeMat-Bulk. Energies are from GGA-PBE.

Lattice parameters (Å, degrees): 5.7402 5.7402 5.8170 90.00 90.00 90.00
Last column: nearest neighbours and their distance in Å.
Positions (direct):
As (0.0000, 0.0000, 0.5000)  2 La 2.91
Se (0.0000, 0.5000, 0.0000)  2 La 2.87
Se (0.5000, 0.0000, 0.0000)  2 La 2.87
Ag (0.5000, 0.5000, 0.5000)  4 As 4.06, 8 Se 4.09
La (0.0000, 0.0000, 0.0000)  4 Se 2.87, 2 As 2.91

Values from the calculation:
The calculation puts the energy at -3.738 eV/atom. The crystal system is tetragonal. The calculation puts the uncorrected formation energy at 0.14 eV per atom. As for the total magnetization: 1.4 μB/f.u. For the calculated volume, the calculation gives 191.7 Å³/cell.

No. 4
Here is a geometry-optimized Sr2LaAgAs structure from Alexandria via LeMat-Bulk. Energies are from GGA-PBE.

Lattice parameters (Å, degrees): 6.3055 5.3031 6.3055 90.00 90.00 90.00
Last column: nearest neighbours and their distance in Å.
Positions (direct):
Sr (0.0000, 0.0000, 0.5000)  2 La 3.15
Sr (0.5000, 0.0000, 0.0000)  2 La 3.15
As (0.5000, 0.5000, 0.5000)  8 Sr 4.12, 4 Ag 4.46
Ag (0.0000, 0.5000, 0.0000)  2 La 2.65
La (0.0000, 0.0000, 0.0000)  2 Ag 2.65

Values from the calculation:
The calculation puts the energy at -2.291 eV/atom. The crystal system is tetragonal. As for the total magnetization: 1.2 μB/f.u. For the calculated volume, the calculation gives 210.8 Å³/cell. The formation energy from the elements is 4.337 eV/f.u.

No. 5
Here is a geometry-optimized LaTi2AgAs structure from Alexandria via LeMat-Bulk. Energies are from GGA-PBE.

Lattice parameters (Å, degrees): 4.8931 5.7733 4.8931 90.00 90.00 90.00
Last column: nearest neighbours and their distance in Å.
Positions (direct):
As (0.5000, 0.5000, 0.5000)  4 La 3.46, 8 Ti 3.78
Ti (0.0000, 0.0000, 0.5000)  2 Ag 2.45
Ti (0.5000, 0.0000, 0.0000)  2 Ag 2.45
Ag (0.0000, 0.0000, 0.0000)  4 Ti 2.45
La (0.0000, 0.5000, 0.0000)  2 Ag 2.89

Values from the calculation:
The calculation puts the energy at -5.040 eV/atom. The crystal system is tetragonal. As for the total magnetization: 2.1 μB/f.u. For the calculated volume, the calculation gives 138.2 Å³/cell. The formation energy from the elements is 3.017 eV/f.u.

No. 6
Here is a geometry-optimized LaTi2AgAs structure from Alexandria via LeMat-Bulk. Energies are from GGA-PBE.

Lattice parameters (Å, degrees): 5.0325 5.1165 5.0325 90.00 90.00 90.00
Last column: nearest neighbours and their distance in Å.
Positions (direct):
As (0.0000, 0.5000, 0.0000)  2 Ag 2.56
Ti (0.0000, 0.0000, 0.5000)  2 Ag 2.52
Ti (0.5000, 0.0000, 0.0000)  2 Ag 2.52
Ag (0.0000, 0.0000, 0.0000)  4 Ti 2.52, 2 As 2.56
La (0.5000, 0.5000, 0.5000)  4 As 3.56, 8 Ti 3.59

Values from the calculation:
The calculation puts the energy at -5.091 eV/atom. The crystal system is tetragonal. As for the total magnetization: 4.7 μB/f.u. For the calculated volume, the calculation gives 129.6 Å³/cell. The formation energy from the elements is 2.761 eV/f.u.

No. 7
Here is a geometry-optimized LaTiAg2As structure from Alexandria via LeMat-Bulk. Energies are from GGA-PBE.

Lattice parameters (Å, degrees): 5.0112 4.9136 5.0112 90.00 90.00 90.00
Last column: nearest neighbours and their distance in Å.
Positions (direct):
As (0.0000, 0.0000, 0.0000)  2 Ti 2.46, 4 Ag 2.51
Ti (0.0000, 0.5000, 0.0000)  2 As 2.46
Ag (0.0000, 0.0000, 0.5000)  2 As 2.51
Ag (0.5000, 0.0000, 0.0000)  2 As 2.51
La (0.5000, 0.5000, 0.5000)  8 Ag 3.51, 4 Ti 3.54

Values from the calculation:
The calculation puts the energy at -4.553 eV/atom. The crystal system is tetragonal. As for the total magnetization: 1.4 μB/f.u. For the calculated volume, the calculation gives 123.4 Å³/cell. The formation energy from the elements is 0.408 eV/f.u.

No. 8
Here is a geometry-optimized LaZnAg2As structure from Alexandria via LeMat-Bulk. Energies are from GGA-PBE.

Lattice parameters (Å, degrees): 5.0624 4.8835 5.0624 90.00 90.00 90.00
Last column: nearest neighbours and their distance in Å.
Positions (direct):
As (0.0000, 0.0000, 0.0000)  2 Zn 2.44, 4 Ag 2.53
Zn (0.0000, 0.5000, 0.0000)  2 As 2.44
Ag (0.0000, 0.0000, 0.5000)  2 As 2.53
Ag (0.5000, 0.0000, 0.0000)  2 As 2.53
La (0.5000, 0.5000, 0.5000)  8 Ag 3.52, 4 Zn 3.58

Values from the calculation:
The calculation puts the energy at -3.219 eV/atom. The crystal system is tetragonal. As for the total magnetization: 0.0 μB/f.u. For the calculated volume, the calculation gives 125.2 Å³/cell. The formation energy from the elements is 0.459 eV/f.u.